No. 1
Below is an optimized crystal structure of CaNd9Y2, with properties calculated at the PBE level.

Output
volume: 35.089 Å³/atom

abc: 5.1939 5.1939 15.6086
angles: 90.00 90.00 90.00
Space group P4/mmm (No. 123)
Inequivalent atoms, fractional coordinates:
Ca  0.0000  0.0000  0.0000 [1 per cell]
Nd  0.0000  0.5000  0.1719 [4 per cell]
Nd  0.0000  0.5000  0.5000 [2 per cell]
Nd  0.5000  0.5000  0.0000 [1 per cell]
Nd  0.5000  0.5000  0.3343 [2 per cell]
Y  0.0000  0.0000  0.3341 [2 per cell]

=====

No. 2
Below is an optimized crystal structure of CaNd5Y6, with properties calculated at the PBE level.

Output
volume: 34.030 Å³/atom

abc: 12.0251 10.9282 6.3113
angles: 90.00 100.03 90.00
Space group C2/m (No. 12)
Inequivalent atoms, fractional coordinates:
Ca  0.0000  0.0000  0.0000 [2 per cell]
Nd  0.0000  0.1698  0.5000 [4 per cell]
Nd  0.0000  0.3371  0.0000 [4 per cell]
Nd  0.0000  0.5000  0.5000 [2 per cell]
Y  0.2461  0.3311  0.7465 [8 per cell]
Y  0.2477  0.5000  0.2547 [4 per cell]

=====

No. 3
Below is an optimized crystal structure of CaNd2Y7, with properties calculated at the PBE level.

Output
volume: 33.550 Å³/atom

abc: 6.2546 6.2706 9.5719
angles: 71.16 71.17 80.51
Space group P-1 (No. 2)
Inequivalent atoms, fractional coordinates:
Ca  0.0000  0.0000  0.0000 [1 per cell]
Nd  0.4929  0.1008  0.3031 [2 per cell]
Y  0.0007  0.3957  0.2045 [2 per cell]
Y  0.0007  0.7964  0.4045 [2 per cell]
Y  0.4992  0.3108  0.8972 [2 per cell]
Y  0.5000  0.5000  0.5000 [1 per cell]

=====

No. 4
Below is an optimized crystal structure of CaNd2Y2, with properties calculated at the PBE level.

Output
volume: 35.710 Å³/atom

abc: 5.6318 17.7136 3.5797
angles: 90.00 90.00 90.00
Space group Cmmm (No. 65)
Inequivalent atoms, fractional coordinates:
Ca  0.0000  0.0000  0.0000 [2 per cell]
Nd  0.0000  0.3797  0.5000 [4 per cell]
Y  0.0000  0.2009  0.0000 [4 per cell]

=====

No. 5
Below is an optimized crystal structure of CaNd3Y, with properties calculated at the PBE level.

Output
volume: 36.414 Å³/atom
polymorph energy (0 for the lowest one): 0 meV/atom

abc: 5.5473 11.4135 11.5025
angles: 90.00 90.04 90.00
Space group C2/m (No. 12)
Inequivalent atoms, fractional coordinates:
Ca  0.0000  0.1558  0.0000 [4 per cell]
Nd  0.9995  0.1527  0.3062 [8 per cell]
Nd  0.0005  0.5000  0.8099 [4 per cell]
Y  0.0000  0.3605  0.5000 [4 per cell]

=====

No. 6
Below is an optimized crystal structure of CaNd8Y6, with properties calculated at the PBE level.

Output
volume: 34.060 Å³/atom

abc: 9.8259 9.8259 18.3308
angles: 90.00 90.00 120.00
Space group R-3 (No. 148, hexagonal axes)
Inequivalent atoms, fractional coordinates:
Ca  0.0000  0.0000  0.0000 [3 per cell]
Nd  0.0000  0.0000  0.2369 [6 per cell]
Nd  0.0474  0.2837  0.9018 [18 per cell]
Y  0.0240  0.2338  0.4091 [18 per cell]

=====

| no. | E (eV/atom) | mass density (Mg/m³) | formation enthalpy at 0 K (eV per atom) |
| --- | --- | --- | --- |
| 1 | -4.789 | 5.979 | 0.0309 |
| 2 | -5.349 | 5.265 | 0.0360 |
| 3 | -5.631 | 4.706 | 0.0474 |
| 4 | -4.852 | 4.709 | 0.0411 |
| 5 | -4.392 | 5.123 | 0.1619 |
| 6 | -5.100 | 5.615 | 0.1615 |